[1]
InHSe2: optimized geometry, PBE-GGA.

Properties
As for the crystal system: orthorhombic. The calculation puts the offset from the most stable computed form at 35 meV per atom. As for the magnetization: 0.0000 μB per atom. Its space-group type is Pnma (62).

Structure (extended XYZ):
```
16
Lattice="11.262 0.000 0.000 0.000 3.912 0.000 0.000 0.000 10.204" Properties=species:S:1:pos:R:3 pbc="T T T"
Se 11.137 2.934 3.328
Se 5.506 2.934 1.774
Se 3.825 2.934 5.184
Se 9.456 2.934 10.121
Se 0.125 0.978 6.876
Se 5.756 0.978 8.430
Se 1.806 0.978 0.083
Se 7.437 0.978 5.019
H 9.702 2.934 3.721
H 7.191 0.978 8.823
H 1.560 0.978 6.483
H 4.071 2.934 1.381
In 6.161 2.934 6.490
In 0.530 2.934 8.816
In 5.101 0.978 3.714
In 10.732 0.978 1.388
```

[2]
InHSe2: optimized geometry, PBE-GGA.

Properties
As for the crystal system: triclinic. The calculation puts the offset from the most stable computed form at 13 meV per atom. As for the magnetization: 0.0000 μB per atom. The calculation puts the density of states at the Fermi level at 0.00 states/eV per cell. Its space-group type is P-1 (2).

Structure (extended XYZ):
```
8
Lattice="-2.277 2.692 -2.228 -2.106 -7.377 -2.585 -5.292 -5.316 4.468" Properties=species:S:1:pos:R:3 pbc="T T T"
Se -5.094 -8.476 1.225
Se -5.915 -2.532 1.585
Se -3.383 -5.474 -0.783
Se -2.734 -1.351 -0.786
H -4.946 -4.759 3.272
H -1.427 -1.819 -0.243
In -5.294 -7.414 -1.205
In -5.460 -3.842 -0.581
```

[3]
InHSe2: optimized geometry, PBE-GGA.

Properties
As for the crystal system: orthorhombic. The calculation puts the offset from the most stable computed form at 20 meV per atom. As for the magnetization: 0.0000 μB per atom. Its space-group type is Pna2_1 (33).

Structure (extended XYZ):
```
16
Lattice="-5.956 3.932 -1.273 -1.314 -4.368 -7.344 -3.751 -4.582 3.397" Properties=species:S:1:pos:R:3 pbc="T T T"
H -3.190 -6.442 -5.467
H -7.244 -4.676 -0.703
H -9.645 -0.790 1.888
H -5.590 -2.556 -2.876
In -8.212 -1.220 -3.979
In -4.618 -6.006 0.395
In -5.611 -4.439 -5.448
In -7.219 -2.787 1.865
Se -3.493 -0.671 -2.722
Se -6.618 0.215 -5.392
Se -6.090 -1.045 0.352
Se -4.102 -6.417 -4.284
Se -3.946 -2.768 -6.465
Se -6.769 -3.419 -3.186
Se -6.161 2.327 -1.624
Se -3.418 -4.029 -0.721
```

[4]
InHSe2: optimized geometry, PBE-GGA.

Properties
As for the crystal system: monoclinic. The calculation puts the offset from the most stable computed form at 308 meV per atom. As for the magnetization: 0.0000 μB per atom. The calculation puts the density of states at the Fermi level at 0.26 states/eV per cell. Its space-group type is P2_1/c (14).

Structure (extended XYZ):
```
16
Lattice="16.190 0.000 -2.062 0.000 4.331 0.000 -6.369 0.000 5.925" Properties=species:S:1:pos:R:3 pbc="T T T"
H 7.646 2.493 3.458
H 2.175 1.838 0.405
H 2.735 4.004 1.527
H 7.085 0.327 2.336
Se 10.273 4.272 2.726
Se 8.963 2.739 -0.434
Se 0.857 1.592 4.297
Se 4.458 2.107 3.068
Se 12.137 0.574 0.303
Se 5.363 2.224 0.795
Se -0.453 0.059 1.137
Se -2.316 3.757 3.560
In 6.175 4.038 3.796
In 3.646 0.293 0.067
In 1.265 2.458 1.864
In 8.556 1.873 1.998
```

[5]
InHSe2: optimized geometry, PBE-GGA.

Properties
As for the crystal system: triclinic. The calculation puts the offset from the most stable computed form at 14 meV per atom. As for the magnetization: 0.0000 μB per atom. The calculation puts the density of states at the Fermi level at 0.00 states/eV per cell. Its space-group type is P1 (1).

Structure (extended XYZ):
```
8
Lattice="-0.618 1.738 -3.566 -2.610 -5.917 -4.711 -7.722 -1.380 -1.611" Properties=species:S:1:pos:R:3 pbc="T T T"
Se -4.341 -0.351 -5.259
Se -9.032 -4.938 -6.721
Se -5.224 -4.200 -7.006
Se -7.551 -3.052 -3.501
H -5.137 -2.863 -6.343
H -8.297 -2.244 -4.509
In -5.682 -1.229 -3.196
In -6.841 -5.414 -5.079
```

[6]
InHSe2: optimized geometry, PBE-GGA.

Properties
As for the crystal system: trigonal. The calculation puts the offset from the most stable computed form at 78 meV per atom. As for the magnetization: 0.0000 μB per atom. The calculation puts the density of states at the Fermi level at 0.00 states/eV per cell. Its space-group type is R-3m (166).

Structure (extended XYZ):
```
4
Lattice="2.383 0.000 6.444 -1.191 2.064 6.444 -1.191 -2.064 6.444" Properties=species:S:1:pos:R:3 pbc="T T T"
Se 0.000 0.000 17.563
Se 0.000 0.000 1.768
H 0.000 0.000 0.000
In 0.000 0.000 9.666
```

Q: What is the formula in the third record?
A: InHSe2

Q: Look up the magnetization of the fifth one.
A: 0.0000 μB per atom